Entry 1:
Here is Ce2BiSb2 after structural relaxation from the Alexandria database. Energies are from GGA-PBE.

## Properties
**Space-group type**: P4/mbm, No. 127
**Formation energy without anion corrections**: -3.5 eV/f.u.

Geometry as POSCAR:
```
Ce2BiSb2
1.0
8.5049 0.0000 0.0000
0.0000 8.5049 0.0000
0.0000 0.0000 4.2216
Ce Bi Sb
4 2 4
direct
0.1530 0.3470 0.0000
0.3470 0.8470 0.0000
0.6530 0.1530 0.0000
0.8470 0.6530 0.0000
0.0000 0.0000 0.5000
0.5000 0.5000 0.5000
0.1487 0.6487 0.5000
0.3513 0.1487 0.5000
0.6487 0.8513 0.5000
0.8513 0.3513 0.5000
```

=====

Entry 2:
Here is ZnSbMo2 after structural relaxation from the Alexandria database. Energies are from GGA-PBE.

## Properties
**Space-group type**: C2/m, No. 12
**Formation energy without anion corrections**: 1.2 eV/f.u.
**Energy above the lowest structure with this stoichiometry**: 175 meV/atom

Geometry as POSCAR:
```
ZnSbMo2
1.0
4.5913 -1.6355 0.0000
4.5913 1.6355 0.0000
-0.8706 0.0000 4.6424
Zn Sb Mo
1 1 2
direct
0.0000 0.0000 0.0000
0.5000 0.5000 0.5000
0.2540 0.2540 0.7871
0.7460 0.7460 0.2129
```

=====

The highest formation energy without anion corrections belongs to which entry? ZnSbMo2